Here is an optimized crystal structure of LaNdDy2Sb4 from Alexandria. Energies are from GGA-PBE.

Lattice parameters (Å, degrees): 4.4867 7.7518 7.7661 70.49 90.00 90.00
Last column: nearest neighbours and their distance in Å.
Sites, in units of the cell vectors:
Nd  0.0000  0.5000  0.5000  6 Sb 3.21
La  0.5000  0.5000  0.0000  6 Sb 3.23
Sb  0.0000  0.2380  0.2560  3 Dy 3.11-3.13, 1 Nd 3.21, 2 La 3.23
Sb  0.5000  0.7605  0.2484  3 Dy 3.11-3.13, 2 Nd 3.21, 1 La 3.23
Sb  0.5000  0.2395  0.7516  3 Dy 3.11-3.13, 2 Nd 3.21, 1 La 3.23
Sb  0.0000  0.7620  0.7440  3 Dy 3.11-3.13, 1 Nd 3.21, 2 La 3.23
Dy  0.5000  0.0000  0.5000  6 Sb 3.11
Dy  0.0000  0.0000  0.0000  6 Sb 3.13

Values from the calculation:
Crystal system = monoclinic
Calculated total energy = -5.602 eV per atom
Formation energy from raw total energies = -1.178 eV per atom
Fermi-level density of states = 1.0 states/eV per cell



Here is an optimized crystal structure of LaNd2Dy4Sc from Alexandria. Energies are from GGA-PBE.

Lattice parameters (Å, degrees): 5.8685 5.8693 9.5258 51.98 90.00 90.00
Last column: nearest neighbours and their distance in Å.
Sites, in units of the cell vectors:
Sc  0.0000  0.5000  0.5000  8 Dy 3.43-3.44, 2 Nd 3.75
La  0.5000  0.5000  0.0000  8 Dy 3.53-3.54, 2 Nd 3.75
Dy  0.0000  0.7619  0.7373  2 Sc 3.43-3.44, 4 Nd 3.43-3.54, 2 La 3.53, 1 Dy 3.56
Dy  0.5000  0.2629  0.7374  4 Nd 3.43-3.53, 2 Sc 3.43, 2 La 3.53-3.54, 1 Dy 3.56
Dy  0.5000  0.7371  0.2626  4 Nd 3.43-3.53, 2 Sc 3.43, 2 La 3.53-3.54, 1 Dy 3.56
Nd  0.0000  0.0000  0.0000  8 Dy 3.53-3.54, 2 Sc 3.75
Dy  0.0000  0.2381  0.2627  2 Sc 3.43-3.44, 4 Nd 3.43-3.54, 2 La 3.53, 1 Dy 3.56
Nd  0.5000  0.0000  0.5000  8 Dy 3.43, 2 La 3.75

Values from the calculation:
Crystal system = tetragonal
Calculated total energy = -4.770 eV per atom
Energy of formation = 0.131 eV/atom
Fermi-level density of states = 17.8 states/eV per cell



Here is an optimized crystal structure of La2NdDySc from Alexandria. Energies are from GGA-PBE.

Lattice parameters (Å, degrees): 7.2952 8.3016 7.1298 125.60 90.00 90.00
Last column: nearest neighbours and their distance in Å.
Sites, in units of the cell vectors:
Sc  0.7500  0.0125  0.0250  1 Nd 2.99, 1 Dy 3.07, 4 La 3.10
La  0.0000  0.6992  0.0000  2 Sc 3.10, 1 La 3.31
Nd  0.7500  0.2703  0.5406  1 Sc 2.99
Sc  0.2500  0.9875  0.9750  1 Nd 2.99, 1 Dy 3.07, 4 La 3.10
La  0.5000  0.6992  0.0000  2 Sc 3.10, 1 La 3.31
La  0.0000  0.3008  0.0000  2 Sc 3.10, 1 La 3.31
Dy  0.7500  0.7477  0.4953  1 Sc 3.07
La  0.5000  0.3008  0.0000  2 Sc 3.10, 1 La 3.31
Nd  0.2500  0.7297  0.4594  1 Sc 2.99
Dy  0.2500  0.2523  0.5047  1 Sc 3.07

Values from the calculation:
Crystal system = orthorhombic
Calculated total energy = -4.762 eV per atom
Energy of formation = 0.350 eV/atom
Fermi-level density of states = 14.7 states/eV per cell



Here is an optimized crystal structure of LaNd2Dy5Sc from Alexandria. Energies are from GGA-PBE.

Lattice parameters (Å, degrees): 8.6927 8.6927 9.8844 116.09 116.09 90.00
Last column: nearest neighbours and their distance in Å.
Sites, in units of the cell vectors:
Dy  0.9340  0.4340  0.2785  1 Nd 3.05, 1 Sc 3.05
Nd  0.1193  0.3807  0.0000  1 Nd 2.93, 2 Dy 3.05
Dy  0.5000  0.5000  0.0000  4 Nd 3.47, 8 Dy 3.79, 2 La 3.87
Dy  0.5660  0.6555  0.7215  1 Nd 3.05, 1 Sc 3.05
Nd  0.3807  0.8807  0.0000  1 Nd 2.93, 2 Dy 3.05
Nd  0.8807  0.6193  0.0000  1 Nd 2.93, 2 Dy 3.05
Sc  0.7500  0.2500  0.5000  4 Dy 3.05
Dy  0.1555  0.0660  0.7215  1 Nd 3.05, 1 Sc 3.05
Dy  0.8445  0.9340  0.2785  1 Nd 3.05, 1 Sc 3.05
Sc  0.2500  0.7500  0.5000  4 Dy 3.05
La  0.2500  0.2500  0.5000  10 Dy 3.56-3.87
Dy  0.4340  0.3445  0.2785  1 Nd 3.05, 1 Sc 3.05
La  0.7500  0.7500  0.5000  10 Dy 3.56-3.87
Dy  0.0660  0.5660  0.7215  1 Nd 3.05, 1 Sc 3.05
Dy  0.0000  0.0000  0.0000  4 Nd 3.47, 8 Dy 3.79, 2 La 3.87
Dy  0.6555  0.1555  0.7215  1 Nd 3.05, 1 Sc 3.05
Nd  0.6193  0.1193  0.0000  1 Nd 2.93, 2 Dy 3.05
Dy  0.3445  0.8445  0.2785  1 Nd 3.05, 1 Sc 3.05

Values from the calculation:
Crystal system = tetragonal
Calculated total energy = -4.599 eV per atom
Energy of formation = 0.269 eV/atom
Fermi-level density of states = 21.1 states/eV per cell



Here is an optimized crystal structure of La5NdDy2Sc from Alexandria. Energies are from GGA-PBE.

Lattice parameters (Å, degrees): 9.7610 8.0771 8.0771 90.00 90.00 90.00
Last column: nearest neighbours and their distance in Å.
Sites, in units of the cell vectors:
La  0.2305  0.2931  0.2069  1 Dy 3.23, 1 Sc 3.26
Nd  0.0000  0.5000  0.5000  8 La 3.67, 4 Sc 4.04
La  0.2305  0.2069  0.7069  1 Dy 3.23, 1 Sc 3.26
Sc  0.0000  0.0000  0.5000  4 La 3.26
La  0.5000  0.5000  0.5000  4 Dy 3.17
La  0.7695  0.2931  0.2069  1 Dy 3.23, 1 Sc 3.26
La  0.2305  0.7069  0.7931  1 Dy 3.23, 1 Sc 3.26
La  0.7695  0.7931  0.2931  1 Dy 3.23, 1 Sc 3.26
La  0.2305  0.7931  0.2931  1 Dy 3.23, 1 Sc 3.26
Nd  0.0000  0.0000  0.0000  8 La 3.67, 4 Sc 4.04
Dy  0.5000  0.1292  0.3708  1 Dy 2.95, 4 La 3.17-3.23
Sc  0.0000  0.5000  0.0000  4 La 3.26
La  0.7695  0.2069  0.7069  1 Dy 3.23, 1 Sc 3.26
Dy  0.5000  0.8708  0.6292  1 Dy 2.95, 4 La 3.17-3.23
Dy  0.5000  0.6292  0.1292  1 Dy 2.95, 4 La 3.17-3.23
Dy  0.5000  0.3708  0.8708  1 Dy 2.95, 4 La 3.17-3.23
La  0.7695  0.7069  0.7931  1 Dy 3.23, 1 Sc 3.26
La  0.5000  0.0000  0.0000  4 Dy 3.17

Values from the calculation:
Crystal system = tetragonal
Calculated total energy = -4.701 eV per atom
Energy of formation = 0.293 eV/atom
Fermi-level density of states = 27.1 states/eV per cell



Here is an optimized crystal structure of La2Nd3Dy6Sc from Alexandria. Energies are from GGA-PBE.

Lattice parameters (Å, degrees): 6.2163 6.2163 11.8638 95.00 95.00 120.01
Last column: nearest neighbours and their distance in Å.
Sites, in units of the cell vectors:
Dy  0.5879  0.9176  0.7513  6 Dy 3.55-3.61, 1 Sc 3.56, 2 La 3.58, 3 Nd 3.58-3.61
Nd  0.5000  0.5000  0.5000  6 Dy 3.59-3.60, 6 Nd 3.59
Sc  0.0000  0.0000  0.0000  6 Dy 3.56, 6 La 3.58-3.60
Dy  0.4121  0.0824  0.2487  6 Dy 3.55-3.61, 1 Sc 3.56, 2 La 3.58, 3 Nd 3.58-3.61
Dy  0.9176  0.5879  0.7513  6 Dy 3.55-3.61, 1 Sc 3.56, 2 La 3.58, 3 Nd 3.58-3.61
Dy  0.7526  0.7526  0.2492  6 Dy 3.55-3.61, 1 Sc 3.56, 2 La 3.58, 3 Nd 3.58-3.60
Dy  0.0824  0.4121  0.2487  6 Dy 3.55-3.61, 1 Sc 3.56, 2 La 3.58, 3 Nd 3.58-3.61
Nd  0.1667  0.8333  0.5000  6 Dy 3.58-3.61, 6 Nd 3.59
Nd  0.8333  0.1667  0.5000  6 Dy 3.58-3.61, 6 Nd 3.59
Dy  0.2474  0.2474  0.7508  6 Dy 3.55-3.61, 1 Sc 3.56, 2 La 3.58, 3 Nd 3.58-3.60
La  0.6659  0.3341  0.0000  3 La 3.57-3.60, 6 Dy 3.58, 3 Sc 3.58-3.60
La  0.3341  0.6659  0.0000  3 La 3.57-3.60, 6 Dy 3.58, 3 Sc 3.58-3.60

Values from the calculation:
Crystal system = monoclinic
Calculated total energy = -4.816 eV per atom
Energy of formation = 0.026 eV/atom
Fermi-level density of states = 15.0 states/eV per cell



Here is an optimized crystal structure of La2NdDy4Sc from Alexandria. Energies are from GGA-PBE.

Lattice parameters (Å, degrees): 9.4780 9.4780 11.8333 128.62 128.62 87.98
Last column: nearest neighbours and their distance in Å.
Sites, in units of the cell vectors:
Nd  0.0000  0.5000  0.5000  6 Dy 3.30-3.41, 2 La 3.39
La  0.5000  0.0000  0.5000  6 Dy 3.30-3.42, 2 Nd 3.39
Dy  0.7510  0.7512  0.5191  2 Sc 3.22-3.23, 3 La 3.30-3.60, 1 Nd 3.30, 2 Dy 3.39
La  0.5000  0.0000  0.0000  6 Dy 3.30-3.42, 2 Nd 3.39
Sc  0.5000  0.5000  0.5000  6 Dy 3.09-3.23, 2 Sc 3.39
Dy  0.2512  0.2510  0.0191  2 Sc 3.22-3.23, 3 La 3.30-3.60, 1 Nd 3.30, 2 Dy 3.39
Dy  0.2336  0.7642  0.9989  1 Sc 3.09, 2 Dy 3.38-3.41, 2 Nd 3.41, 2 La 3.42
Sc  0.0000  0.0000  0.0000  6 Dy 3.09-3.23, 2 Sc 3.39
Dy  0.2490  0.2488  0.4809  2 Sc 3.22-3.23, 3 La 3.30-3.60, 1 Nd 3.30, 2 Dy 3.39
Dy  0.2642  0.7336  0.4989  1 Sc 3.09, 2 Dy 3.38-3.41, 2 Nd 3.41, 2 La 3.42
Dy  0.7488  0.7490  0.9809  2 Sc 3.22-3.23, 3 La 3.30-3.60, 1 Nd 3.30, 2 Dy 3.39
Nd  0.0000  0.5000  0.0000  6 Dy 3.30-3.41, 2 La 3.39
Dy  0.7358  0.2664  0.5011  1 Sc 3.09, 2 Dy 3.38-3.41, 2 Nd 3.41, 2 La 3.42
Dy  0.7664  0.2358  0.0011  1 Sc 3.09, 2 Dy 3.38-3.41, 2 Nd 3.41, 2 La 3.42
La  0.0000  0.0000  0.5000  2 La 3.39, 6 Dy 3.49-3.60
La  0.5000  0.5000  0.0000  2 La 3.39, 6 Dy 3.49-3.60

Values from the calculation:
Crystal system = monoclinic
Calculated total energy = -4.530 eV per atom
Energy of formation = 0.391 eV/atom
Fermi-level density of states = 36.9 states/eV per cell



Here is an optimized crystal structure of LaNd5Dy2Sc from Alexandria. Energies are from GGA-PBE.

Lattice parameters (Å, degrees): 5.7008 10.5005 10.5584 90.00 90.00 105.75
Last column: nearest neighbours and their distance in Å.
Sites, in units of the cell vectors:
Dy  0.1158  0.2316  0.7353  1 Sc 3.34, 7 Nd 3.54-3.70, 2 La 3.73
Nd  0.4848  0.9695  0.7419  2 La 3.08-3.35
Dy  0.8876  0.7751  0.8113  9 Nd 3.32-3.64, 1 Sc 3.56
Nd  0.2765  0.5530  0.3219  1 La 3.09, 1 Dy 3.32, 2 Nd 3.44
Nd  0.9825  0.9651  0.5181  2 La 3.25, 3 Dy 3.42-3.59, 1 Sc 3.59
Nd  0.7235  0.4470  0.8219  1 La 3.09, 1 Dy 3.32, 2 Nd 3.44
Dy  0.8842  0.7684  0.2353  1 Sc 3.34, 7 Nd 3.54-3.70, 2 La 3.73
Sc  0.8051  0.6103  0.5135  2 Dy 3.34-3.56, 7 Nd 3.51-3.65, 2 La 3.63
Sc  0.1949  0.3897  0.0135  2 Dy 3.34-3.56, 7 Nd 3.51-3.65, 2 La 3.63
Nd  0.7030  0.4060  0.2063  4 Nd 3.44-3.81, 3 Sc 3.51-3.84, 1 La 3.52, 3 Dy 3.56-3.68
La  0.5877  0.1754  0.9569  5 Nd 3.08-3.35
Nd  0.5152  0.0305  0.2419  2 La 3.08-3.35
Nd  0.6258  0.2517  0.5187  4 Dy 3.60-3.66, 1 Sc 3.62, 4 Nd 3.65-3.76
Nd  0.2970  0.5940  0.7063  4 Nd 3.44-3.81, 3 Sc 3.51-3.84, 1 La 3.52, 3 Dy 3.56-3.68
Dy  0.1124  0.2249  0.3113  9 Nd 3.32-3.64, 1 Sc 3.56
Nd  0.0175  0.0349  0.0181  2 La 3.25, 3 Dy 3.42-3.59, 1 Sc 3.59
Nd  0.3742  0.7483  0.0186  4 Dy 3.60-3.66, 1 Sc 3.62, 4 Nd 3.65-3.76
La  0.4123  0.8246  0.4569  5 Nd 3.08-3.35

Values from the calculation:
Crystal system = orthorhombic
Calculated total energy = -4.761 eV per atom
Energy of formation = 0.162 eV/atom
Fermi-level density of states = 28.2 states/eV per cell